--- A ---
Here is crystalline P2PbSeS at its relaxed geometry from Alexandria. Energies are from PBE.

Unit cell a=5.2983 b=5.2983 c=5.0251 alpha=90.00 beta=90.00 gamma=90.00
Last column: nearest neighbours and their distance in Å.
Space group P4/mmm (No. 123)
Symmetry-distinct sites (fractional):
P1 0.0000 0.5000 0.0000 (multiplicity 2)  2 Pb 2.65
Pb1 0.0000 0.0000 0.0000 (multiplicity 1)  2 S 2.51, 4 P 2.65
Se1 0.5000 0.5000 0.5000 (multiplicity 1)  8 P 3.65, 4 S 3.75
S1 0.0000 0.0000 0.5000 (multiplicity 1)  2 Pb 2.51

Size of the total moment: 0.80 μB/cell

---

--- B ---
Here is crystalline P2PbSeS at its relaxed geometry from Alexandria. Energies are from PBE.

Unit cell a=5.2938 b=5.2938 c=5.3928 alpha=90.00 beta=90.00 gamma=90.00
Last column: nearest neighbours and their distance in Å.
Space group P4/mmm (No. 123)
Symmetry-distinct sites (fractional):
P1 0.0000 0.5000 0.0000 (multiplicity 2)  2 Se 2.65
Pb1 0.0000 0.0000 0.5000 (multiplicity 1)  4 S 3.74, 8 P 3.78
Se1 0.5000 0.5000 0.0000 (multiplicity 1)  4 P 2.65, 2 S 2.70
S1 0.5000 0.5000 0.5000 (multiplicity 1)  2 Se 2.70

Size of the total moment: 2.08 μB/cell

---

The structure with the most favorable energy is B; the runner-up is 0.482 eV/atom above it.

---

--- A ---
Here is crystalline PPbSeS2 at its relaxed geometry from Alexandria. Energies are from PBE.

Unit cell a=4.8826 b=4.8826 c=4.8283 alpha=90.00 beta=90.00 gamma=90.00
Last column: nearest neighbours and their distance in Å.
Space group P4/mmm (No. 123)
Symmetry-distinct sites (fractional):
P1 0.0000 0.0000 0.0000 (multiplicity 1)  2 Se 2.41
Pb1 0.5000 0.5000 0.0000 (multiplicity 1)  8 S 3.43, 4 P 3.45
Se1 0.0000 0.0000 0.5000 (multiplicity 1)  2 P 2.41, 4 S 2.44
S1 0.0000 0.5000 0.5000 (multiplicity 2)  2 Se 2.44

Size of the total moment: 0.00 μB/cell

---

--- B ---
Here is crystalline PPbSeS2 at its relaxed geometry from Alexandria. Energies are from PBE.

Unit cell a=5.0820 b=5.0820 c=5.5439 alpha=90.00 beta=90.00 gamma=90.00
Last column: nearest neighbours and their distance in Å.
Space group P4/mmm (No. 123)
Symmetry-distinct sites (fractional):
P1 0.0000 0.0000 0.0000 (multiplicity 1)  2 Pb 2.77
Pb1 0.0000 0.0000 0.5000 (multiplicity 1)  4 S 2.54, 2 P 2.77
Se1 0.5000 0.5000 0.0000 (multiplicity 1)  4 P 3.59, 8 S 3.76
S1 0.0000 0.5000 0.5000 (multiplicity 2)  2 Pb 2.54

Size of the total moment: 0.60 μB/cell

---

The structure with the most favorable energy is A; the runner-up is 0.725 eV/atom above it.